This record from the Alexandria database describes a relaxed structure of CeScZn2In2. The functional is PBE.

Computed properties:
Formation energy from the elements   -0.3487 eV per atom
N(E_F)   1.454 states/eV/atom
ρ   6.73 g cm⁻³

POSCAR file:
```
CeScZn2In2
1.0
-1.9890 1.4997 -3.9168
-0.9890 -4.2312 1.6327
-5.4614 2.7535 3.8276
Zn Ce Sc In
2 1 1 2
Direct
0.3333 0.6667 0.2882
0.6667 0.3333 0.7118
0.0000 0.0000 0.0000
0.0000 0.0000 0.5000
0.3333 0.6667 0.7292
0.6667 0.3333 0.2708
```